Model a:
# HfCu2Mo | Alexandria | PBE | optimized geometry
# Calculated volume (Å³ per cell): 245.8
# Crystal system: cubic
# N(E_F) (states/eV per cell): 11.7
data_HfCu2Mo
_symmetry_space_group_name_H-M 'F m -3 m'
_symmetry_Int_Tables_number 225
_symmetry_space_group_name_Hall '-F 4 2 3'
_cell_length_a 6.2643
_cell_length_b 6.2643
_cell_length_c 6.2643
_cell_angle_alpha 90.00
_cell_angle_beta 90.00
_cell_angle_gamma 90.00
loop_
_atom_site_label
_atom_site_type_symbol
_atom_site_fract_x
_atom_site_fract_y
_atom_site_fract_z
Hf1 Hf 0.0000 0.0000 0.0000
Cu1 Cu 0.2500 0.2500 0.2500
Mo1 Mo 0.0000 0.0000 0.5000

---

Model b:
# HfCu2Mo | Alexandria | PBE | optimized geometry
# Calculated volume (Å³ per cell): 268.6
# Crystal system: tetragonal
# N(E_F) (states/eV per cell): 17.4
data_HfCu2Mo
_symmetry_space_group_name_H-M 'I -4 2 d'
_symmetry_Int_Tables_number 122
_symmetry_space_group_name_Hall 'I -4 2bw'
_cell_length_a 3.7359
_cell_length_b 3.7359
_cell_length_c 19.2430
_cell_angle_alpha 90.00
_cell_angle_beta 90.00
_cell_angle_gamma 90.00
loop_
_atom_site_label
_atom_site_type_symbol
_atom_site_fract_x
_atom_site_fract_y
_atom_site_fract_z
Hf1 Hf 0.0000 0.0000 0.0000
Cu1 Cu 0.2335 0.2500 0.6250
Mo1 Mo 0.0000 0.0000 0.5000

---

Quick one: least stable of them? model b

---

Model a:
# HfCuMo2 | Alexandria | PBE | optimized geometry
# Calculated volume (Å³ per cell): 259.2
# Crystal system: cubic
# N(E_F) (states/eV per cell): 35.1
data_HfCuMo2
_symmetry_space_group_name_H-M 'F m -3 m'
_symmetry_Int_Tables_number 225
_symmetry_space_group_name_Hall '-F 4 2 3'
_cell_length_a 6.3760
_cell_length_b 6.3760
_cell_length_c 6.3760
_cell_angle_alpha 90.00
_cell_angle_beta 90.00
_cell_angle_gamma 90.00
loop_
_atom_site_label
_atom_site_type_symbol
_atom_site_fract_x
_atom_site_fract_y
_atom_site_fract_z
Hf1 Hf 0.0000 0.0000 0.0000
Cu1 Cu 0.0000 0.0000 0.5000
Mo1 Mo 0.2500 0.2500 0.2500

---

Model b:
# HfCuMo2 | Alexandria | PBE | optimized geometry
# Calculated volume (Å³ per cell): 278.6
# Crystal system: tetragonal
# N(E_F) (states/eV per cell): 14.2
data_HfCuMo2
_symmetry_space_group_name_H-M 'I -4 2 d'
_symmetry_Int_Tables_number 122
_symmetry_space_group_name_Hall 'I -4 2bw'
_cell_length_a 7.3862
_cell_length_b 7.3862
_cell_length_c 5.1075
_cell_angle_alpha 90.00
_cell_angle_beta 90.00
_cell_angle_gamma 90.00
loop_
_atom_site_label
_atom_site_type_symbol
_atom_site_fract_x
_atom_site_fract_y
_atom_site_fract_z
Hf1 Hf 0.0000 0.0000 0.0000
Cu1 Cu 0.0000 0.0000 0.5000
Mo1 Mo 0.2153 0.2500 0.6250

---

Quick one: least stable of them? model b